No. 1
A relaxed structure of ErZrCd14. Source: Alexandria via LeMat-Bulk, functional PBE-GGA.

Computed properties:
The value obtained for the spin magnetization is 0.000 μB per cell. As for the calculated formation energy: -0.074 eV/atom.

Cell: 6.495 6.495 8.493 Å, 90.00 90.00 90.00°
Sites, in units of the cell vectors:
Er1 0.000 0.000 0.000
Zr1 0.500 0.500 0.000
Cd1 0.000 0.000 0.500
Cd2 0.000 0.500 0.000
Cd3 0.000 0.500 0.500
Cd4 0.254 0.254 0.253
Cd5 0.254 0.254 0.747
Cd6 0.254 0.746 0.253
Cd7 0.254 0.746 0.747
Cd8 0.500 0.000 0.000
Cd9 0.500 0.000 0.500
Cd10 0.500 0.500 0.500
Cd11 0.746 0.254 0.253
Cd12 0.746 0.254 0.747
Cd13 0.746 0.746 0.253
Cd14 0.746 0.746 0.747

No. 2
A relaxed structure of Pr7Ho16Er6. Source: Alexandria via LeMat-Bulk, functional PBE-GGA.

Computed properties:
The value obtained for the spin magnetization is 0.008 μB per cell. As for the calculated formation energy: 0.268 eV/atom.

Cell: 11.225 11.225 11.225 Å, 60.00 60.00 60.00°
Sites, in units of the cell vectors:
Pr1 0.000 0.000 0.000
Pr2 0.000 0.000 0.500
Pr3 0.000 0.500 0.000
Pr4 0.000 0.500 0.500
Pr5 0.500 0.000 0.000
Pr6 0.500 0.000 0.500
Pr7 0.500 0.500 0.000
Ho1 0.061 0.646 0.646
Ho2 0.131 0.131 0.131
Ho3 0.131 0.131 0.606
Ho4 0.131 0.606 0.131
Ho5 0.354 0.354 0.354
Ho6 0.354 0.354 0.939
Ho7 0.354 0.939 0.354
Ho8 0.394 0.869 0.869
Ho9 0.606 0.131 0.131
Ho10 0.646 0.061 0.646
Ho11 0.646 0.646 0.061
Ho12 0.646 0.646 0.646
Ho13 0.869 0.394 0.869
Ho14 0.869 0.869 0.394
Ho15 0.869 0.869 0.869
Ho16 0.939 0.354 0.354
Er1 0.250 0.250 0.750
Er2 0.250 0.750 0.250
Er3 0.250 0.750 0.750
Er4 0.750 0.250 0.250
Er5 0.750 0.250 0.750
Er6 0.750 0.750 0.250

Among the records above, which one has the lowest spin magnetization?
ErZrCd14